DFT (PBE) results for crystalline VAs2OsN at its relaxed geometry.

The energy relative to the elements, uncorrected comes out at 538 meV per atom.

The structure belongs to space group P4/mmm (No. 123); the cell edges are 4.337, 4.337 and 3.722 Å and the angles 90.00°, 90.00° and 90.00°. The distinct sites, in fractional coordinates, are V at (0.000, 0.000, 0.000), As at (0.000, 0.500, 0.500), Os at (0.500, 0.500, 0.000) and N at (0.000, 0.000, 0.500).

=====

DFT (PBE) results for crystalline MgIn2Cu at its relaxed geometry.

The formation energy comes out at 4 kJ/mol of atoms.

The structure belongs to space group P4/mmm (No. 123); the cell edges are 3.383, 3.383 and 7.255 Å and the angles 90.00°, 90.00° and 90.00°. The distinct sites, in fractional coordinates, are Mg at (0.000, 0.000, 0.000), In at (0.500, 0.500, 0.282) and Cu at (0.000, 0.000, 0.500).

=====

Which calculated total energy belongs to each record? In order, -7.056, -2.752 eV per atom.